w) VASP calculation (GGA-PBE) on IrOF after structural relaxation.

Computed properties:
**Magnetic moment**: 0.002 μB per atom
**Volume**: 11.90 A^3/atom

POSCAR file:
```
IrOF
1.0
4.675 0.000 0.000
0.000 4.675 0.000
0.000 0.000 6.533
F Ir O
4 4 4
Cartesian
3.378 3.378 0.000
3.634 1.040 1.633
1.297 1.297 3.267
1.040 3.634 4.900
0.167 0.167 0.000
2.171 2.504 1.633
4.508 4.508 3.267
2.504 2.171 4.900
1.548 1.548 0.000
0.790 3.885 1.633
3.127 3.127 3.267
3.885 0.790 4.900
```


x) VASP calculation (GGA-PBE) on IrOF after structural relaxation.

Computed properties:
**Magnetic moment**: 0.000 μB per atom
**Volume**: 11.00 A^3/atom

POSCAR file:
```
IrOF
1.0
-0.680 -3.234 4.079
4.571 -1.186 -0.183
0.900 2.709 4.935
F Ir O
4 4 4
Cartesian
1.282 -2.398 3.246
4.101 -0.938 3.078
0.690 -0.773 5.753
3.509 0.688 5.587
-0.027 -0.545 1.454
2.189 -1.955 4.997
2.603 0.244 3.835
4.819 -1.166 7.377
3.522 -3.191 4.269
1.790 -0.126 2.057
3.003 -1.584 6.775
1.270 1.479 4.562
```


What should be chosen as the most stable of them? Choose x).


w) VASP calculation (GGA-PBE) on SnPd2Pb after structural relaxation.

Computed properties:
**Volume**: 20.56 A^3/atom

POSCAR file:
```
SnPd2Pb
1.0
6.332 0.000 0.000
0.000 4.015 0.000
-0.024 0.000 6.469
Pb Pd Sn
2 4 2
Cartesian
5.118 3.011 2.576
1.190 1.004 3.893
0.129 1.004 1.113
3.181 1.004 1.949
3.127 3.011 4.521
6.179 3.011 5.356
1.957 3.011 0.594
4.351 1.004 5.876
```


x) VASP calculation (GGA-PBE) on SnPd2Pb after structural relaxation.

Computed properties:
**Volume**: 19.82 A^3/atom

POSCAR file:
```
SnPd2Pb
1.0
4.586 1.478 -0.132
-0.853 2.950 3.716
-1.003 -4.699 0.379
Pb Pd Sn
1 2 1
Cartesian
0.000 0.000 0.000
2.725 -0.503 1.020
0.005 0.232 2.943
1.867 2.214 1.792
```


What should be chosen as the most stable of them? Choose w).


w) VASP calculation (GGA-PBE) on La2PrCu2Ge4Ir2 after structural relaxation.

Computed properties:
**Magnetic moment**: 0.001 μB per atom
**Volume**: 20.37 A^3/atom

POSCAR file:
```
La2PrCu2Ge4Ir2
1.0
-2.107 2.121 12.531
2.107 -2.121 12.531
2.107 2.121 -12.531
Cu Ge Ir La Pr
2 4 2 2 1
Cartesian
0.000 2.121 10.114
2.107 0.000 2.416
0.000 0.000 11.247
0.000 0.000 13.815
0.000 2.121 7.652
2.107 0.000 4.879
0.000 0.000 6.252
0.000 0.000 18.809
0.000 2.121 3.755
2.107 0.000 8.776
0.000 0.000 0.000
```


x) VASP calculation (GGA-PBE) on La2PrCu2Ge4Ir2 after structural relaxation.

Computed properties:
**Magnetic moment**: 0.000 μB per atom
**Volume**: 20.60 A^3/atom

POSCAR file:
```
La2PrCu2Ge4Ir2
1.0
-0.834 9.938 8.530
-4.574 11.565 4.191
0.509 -12.156 -4.920
Cu Ge Ir La Pr
2 4 2 2 1
Cartesian
-1.350 5.367 3.175
-4.058 16.136 9.547
-2.439 9.697 5.737
-2.969 11.806 6.985
-1.801 5.407 5.660
-3.097 3.940 2.141
-2.333 7.521 6.911
-2.566 1.826 0.891
-0.954 2.036 3.666
-3.945 7.311 4.136
0.000 0.000 0.000
```


What should be chosen as the most stable of them? Choose w).


w) VASP calculation (GGA-PBE) on ZrFeNiAs after structural relaxation.

Computed properties:
**Magnetic moment**: 0.577 μB per atom
**Volume**: 15.01 A^3/atom

POSCAR file:
```
ZrFeNiAs
1.0
2.707 -1.449 3.145
0.801 2.492 3.531
-1.610 -1.162 3.921
As Fe Ni Zr
1 1 1 1
Cartesian
0.000 0.000 0.000
1.424 -0.089 7.948
0.949 -0.059 5.298
0.475 -0.030 2.649
```


x) VASP calculation (GGA-PBE) on ZrFeNiAs after structural relaxation.

Computed properties:
**Magnetic moment**: 0.381 μB per atom
**Volume**: 14.39 A^3/atom

POSCAR file:
```
ZrFeNiAs
1.0
2.948 0.083 3.175
-1.085 -1.271 3.998
1.571 -3.710 1.595
As Fe Ni Zr
1 1 1 1
Cartesian
0.000 0.000 0.000
2.576 -3.674 6.576
0.859 -1.225 2.192
1.717 -2.450 4.384
```


What should be chosen as the most stable of them? Choose x).


w) VASP calculation (GGA-PBE) on Na2Hf after structural relaxation.

Computed properties:
**Magnetic moment**: 0.419 μB per atom
**Volume**: 23.81 A^3/atom

POSCAR file:
```
Na2Hf
1.0
-3.959 3.780 -2.331
-0.884 -5.869 -0.423
-4.645 0.117 8.080
Hf Na
4 8
Cartesian
-3.251 0.572 -1.144
-4.940 0.614 1.795
-4.548 -2.586 3.532
-6.237 -2.544 6.471
0.000 0.000 0.000
-2.157 -1.355 1.467
-2.580 -4.161 1.265
-4.473 -2.353 0.151
-2.323 0.058 4.040
-5.015 0.382 5.176
-6.908 2.189 4.061
-7.331 -0.617 3.859
```


x) VASP calculation (GGA-PBE) on Na2Hf after structural relaxation.

Computed properties:
**Magnetic moment**: 1.332 μB per atom
**Volume**: 112.34 A^3/atom

POSCAR file:
```
Na2Hf
1.0
-8.754 1.344 4.293
-8.067 1.130 -5.523
-6.783 -7.124 -0.319
Hf Na
2 4
Cartesian
0.000 0.000 0.000
-5.901 -1.162 -0.387
-7.327 0.091 1.953
-2.950 -0.581 -0.194
-6.984 -0.016 -2.955
-6.342 -4.143 -0.353
```


What should be chosen as the most stable of them? Choose w).


w) VASP calculation (GGA-PBE) on RbCu3SnS4 after structural relaxation.

Computed properties:
**Volume**: 25.34 A^3/atom

POSCAR file:
```
RbCu3SnS4
1.0
6.110 0.000 0.000
0.000 6.110 0.000
0.000 0.000 6.110
Cu Rb S Sn
3 1 4 1
Cartesian
3.055 3.055 0.000
3.055 0.000 3.055
0.000 3.055 3.055
0.000 0.000 0.000
1.693 1.693 1.693
4.416 4.416 1.693
4.416 1.693 4.416
1.693 4.416 4.416
3.055 3.055 3.055
```


x) VASP calculation (GGA-PBE) on RbCu3SnS4 after structural relaxation.

Computed properties:
**Volume**: 23.04 A^3/atom

POSCAR file:
```
RbCu3SnS4
1.0
5.731 0.000 0.000
0.000 7.563 0.000
-2.431 0.000 9.569
Cu Rb S Sn
6 2 8 2
Cartesian
-0.124 1.891 2.314
-0.055 0.549 4.570
-0.055 3.233 4.570
3.355 4.330 4.999
3.355 7.014 4.999
3.425 5.672 7.255
1.397 5.672 1.245
1.904 1.891 8.324
1.512 1.891 0.776
4.340 3.868 2.804
4.340 7.476 2.804
1.557 5.672 4.624
1.743 1.891 4.944
-1.039 0.087 6.764
-1.039 3.695 6.764
1.788 5.672 8.793
2.851 1.891 2.747
0.450 5.672 6.822
```


What should be chosen as the most stable of them? Choose x).


w) VASP calculation (GGA-PBE) on TbTlCdTe3 after structural relaxation.

Computed properties:
**Magnetic moment**: 0.000 μB per atom
**Volume**: 33.59 A^3/atom

POSCAR file:
```
TbTlCdTe3
1.0
-12.255 -3.072 -3.220
-0.477 -2.239 3.951
-4.399 11.361 5.906
Cd Tb Te Tl
4 4 12 4
Cartesian
-10.113 -0.019 -1.232
-4.409 2.611 0.947
-12.484 4.559 3.714
-6.780 7.188 5.893
-6.744 -0.578 1.497
-13.538 -0.394 0.781
-3.355 7.563 3.880
-10.148 7.747 3.164
-7.510 -1.077 -1.517
-12.573 -1.131 -2.159
-3.833 0.120 2.244
-10.649 0.362 1.558
-7.219 2.401 0.489
-3.014 4.670 2.282
-13.879 2.499 2.379
-9.674 4.768 4.172
-6.243 6.807 3.103
-13.059 7.050 2.418
-4.319 8.300 6.820
-9.383 8.246 6.178
-10.505 -3.605 -0.672
-6.515 3.450 3.807
-10.377 3.719 0.854
-6.387 10.774 5.333
```


x) VASP calculation (GGA-PBE) on TbTlCdTe3 after structural relaxation.

Computed properties:
**Magnetic moment**: 0.000 μB per atom
**Volume**: 33.86 A^3/atom

POSCAR file:
```
TbTlCdTe3
1.0
2.233 -7.754 0.000
2.233 7.754 0.000
0.000 0.000 11.730
Cd Tb Te Tl
2 2 6 2
Cartesian
2.233 0.578 2.933
2.233 -0.578 8.798
0.000 0.000 0.000
0.000 0.000 5.865
2.233 2.122 0.579
2.233 6.516 2.933
2.233 2.122 5.286
2.233 -2.122 6.444
2.233 -6.516 8.798
2.233 -2.122 11.152
2.233 -4.020 2.933
2.233 4.020 8.798
```


What should be chosen as the most stable of them? Choose x).